# MgAsAu2 | Alexandria | PBE | relaxed
# - space group = Cm
# - energy of formation (meV/atom) = -204
# - magnetic moment (μB per atom) = 0.00
data_MgAsAu2
_chemical_formula_sum 'Mg1 As1 Au2'
_symmetry_space_group_name_H-M 'P 1'
_symmetry_Int_Tables_number 1
_symmetry_space_group_name_Hall 'P 1'
_cell_length_a 5.227
_cell_length_b 5.227
_cell_length_c 4.013
_cell_angle_alpha 68.25
_cell_angle_beta 68.25
_cell_angle_gamma 47.04
loop_
_atom_site_label
_atom_site_type_symbol
_atom_site_fract_x
_atom_site_fract_y
_atom_site_fract_z
_atom_site_occupancy
As1 As 0.757 0.757 0.746 1
Au1 Au 0.996 0.996 0.002 1
Au2 Au 0.246 0.246 0.256 1
Mg1 Mg 0.502 0.502 0.496 1


# Mg2AsAu | Alexandria | PBE | relaxed
# - space group = P2/m
# - energy of formation (meV/atom) = -384
# - magnetic moment (μB per atom) = 0.00
data_Mg2AsAu
_chemical_formula_sum 'Mg2 As1 Au1'
_symmetry_space_group_name_H-M 'P 1'
_symmetry_Int_Tables_number 1
_symmetry_space_group_name_Hall 'P 1'
_cell_length_a 3.649
_cell_length_b 6.986
_cell_length_c 5.535
_cell_angle_alpha 37.00
_cell_angle_beta 90.00
_cell_angle_gamma 90.00
loop_
_atom_site_label
_atom_site_type_symbol
_atom_site_fract_x
_atom_site_fract_y
_atom_site_fract_z
_atom_site_occupancy
As1 As 0.500 0.500 0.500 1
Au1 Au 0.000 0.000 0.500 1
Mg1 Mg 0.000 0.000 0.000 1
Mg2 Mg 0.500 0.500 0.000 1


# Mg6AsAu5 | Alexandria | PBE | relaxed
# - space group = C2/m
# - energy of formation (meV/atom) = -548
# - magnetic moment (μB per atom) = 0.00
data_Mg6AsAu5
_chemical_formula_sum 'Mg6 As1 Au5'
_symmetry_space_group_name_H-M 'P 1'
_symmetry_Int_Tables_number 1
_symmetry_space_group_name_Hall 'P 1'
_cell_length_a 4.676
_cell_length_b 8.170
_cell_length_c 8.170
_cell_angle_alpha 120.57
_cell_angle_beta 106.62
_cell_angle_gamma 106.62
loop_
_atom_site_label
_atom_site_type_symbol
_atom_site_fract_x
_atom_site_fract_y
_atom_site_fract_z
_atom_site_occupancy
Mg1 Mg 0.250 0.082 0.417 1
Mg2 Mg 0.750 0.583 0.918 1
Mg3 Mg 0.750 0.251 0.251 1
Mg4 Mg 0.250 0.749 0.749 1
Mg5 Mg 0.250 0.417 0.082 1
Mg6 Mg 0.750 0.918 0.583 1
Au1 Au 0.500 0.172 0.828 1
Au2 Au 0.000 0.337 0.663 1
Au3 Au 0.500 0.500 0.500 1
Au4 Au 0.000 0.663 0.337 1
Au5 Au 0.500 0.828 0.172 1
As1 As 0.000 0.000 0.000 1


# MgAsAu2 | Alexandria | PBE | relaxed
# - space group = P2/m
# - energy of formation (meV/atom) = -174
# - magnetic moment (μB per atom) = 0.00
data_MgAsAu2
_chemical_formula_sum 'Mg1 As1 Au2'
_symmetry_space_group_name_H-M 'P 1'
_symmetry_Int_Tables_number 1
_symmetry_space_group_name_Hall 'P 1'
_cell_length_a 5.042
_cell_length_b 3.196
_cell_length_c 4.688
_cell_angle_alpha 91.13
_cell_angle_beta 90.00
_cell_angle_gamma 90.00
loop_
_atom_site_label
_atom_site_type_symbol
_atom_site_fract_x
_atom_site_fract_y
_atom_site_fract_z
_atom_site_occupancy
As1 As 0.500 0.750 0.750 1
Au1 Au 0.000 0.994 0.005 1
Au2 Au 0.000 0.506 0.495 1
Mg1 Mg 0.500 0.250 0.250 1


# MgAs2Au2 | Alexandria | PBE | relaxed
# - space group = I4/mmm
# - energy of formation (meV/atom) = -50
# - magnetic moment (μB per atom) = 0.00
# - energy above the lowest structure with this stoichiometry (meV per atom) = 0
data_MgAs2Au2
_chemical_formula_sum 'Mg1 As2 Au2'
_symmetry_space_group_name_H-M 'P 1'
_symmetry_Int_Tables_number 1
_symmetry_space_group_name_Hall 'P 1'
_cell_length_a 3.969
_cell_length_b 3.969
_cell_length_c 7.141
_cell_angle_alpha 73.86
_cell_angle_beta 73.86
_cell_angle_gamma 90.00
loop_
_atom_site_label
_atom_site_type_symbol
_atom_site_fract_x
_atom_site_fract_y
_atom_site_fract_z
_atom_site_occupancy
As1 As 0.750 0.250 0.500 1
As2 As 0.250 0.750 0.500 1
Au1 Au 0.400 0.400 0.201 1
Au2 Au 0.600 0.600 0.799 1
Mg1 Mg 0.000 0.000 0.000 1


# Mg2AsAu | Alexandria | PBE | relaxed
# - space group = Amm2
# - energy of formation (meV/atom) = -479
# - magnetic moment (μB per atom) = 0.00
data_Mg2AsAu
_chemical_formula_sum 'Mg2 As1 Au1'
_symmetry_space_group_name_H-M 'P 1'
_symmetry_Int_Tables_number 1
_symmetry_space_group_name_Hall 'P 1'
_cell_length_a 5.378
_cell_length_b 5.378
_cell_length_c 4.189
_cell_angle_alpha 89.99
_cell_angle_beta 90.01
_cell_angle_gamma 139.46
loop_
_atom_site_label
_atom_site_type_symbol
_atom_site_fract_x
_atom_site_fract_y
_atom_site_fract_z
_atom_site_occupancy
As1 As 0.538 0.462 0.375 1
Au1 Au 0.714 0.286 0.875 1
Mg1 Mg 0.981 0.019 0.875 1
Mg2 Mg 0.267 0.733 0.375 1


> magnetic moment of number 2 (Mg2AsAu)?

0.00 μB per atom


> Number 1 is which compound?

MgAsAu2